GGA-PBE PmSm8Ga6, relaxed; D(E_F) = 19.2 states/eV per cell; DFT formation energy = -357 meV/atom; space group = R-3, No. 148; total energy = -4.40 eV/atom
1.0
4.406 2.544 6.264
-4.406 2.544 6.264
0.000 -5.088 6.264
Pm Sm Ga
1 8 6
Direct
0.000 0.000 0.000 Pm
0.113 0.447 0.780 Sm
0.220 0.887 0.553 Sm
0.333 0.333 0.333 Sm
0.447 0.780 0.113 Sm
0.553 0.220 0.887 Sm
0.667 0.667 0.667 Sm
0.780 0.113 0.447 Sm
0.887 0.553 0.220 Sm
0.057 0.723 0.391 Ga
0.277 0.609 0.943 Ga
0.391 0.057 0.723 Ga
0.609 0.943 0.277 Ga
0.723 0.391 0.057 Ga
0.943 0.277 0.609 Ga

GGA-PBE IrAu7, relaxed; D(E_F) = 7.9 states/eV per cell; DFT formation energy = 174 meV/atom; space group = Fm-3m, No. 225; total energy = -3.80 eV/atom
1.0
0.000 4.123 4.123
4.123 0.000 4.123
4.123 4.123 0.000
Ir Au
1 7
Direct
0.000 0.000 0.000 Ir
0.000 0.000 0.500 Au
0.000 0.500 0.000 Au
0.000 0.500 0.500 Au
0.500 0.000 0.000 Au
0.500 0.000 0.500 Au
0.500 0.500 0.000 Au
0.500 0.500 0.500 Au

GGA-PBE Sm3InB2Rh9, relaxed; D(E_F) = 15.3 states/eV per cell; DFT formation energy = -514 meV/atom; space group = P-3m1, No. 164; total energy = -6.94 eV/atom
1.0
5.916 0.000 0.000
-2.958 5.123 0.000
0.000 0.000 8.700
Sm In B Rh
3 1 2 9
Direct
0.000 0.000 0.000 Sm
0.333 0.667 0.665 Sm
0.667 0.333 0.335 Sm
0.000 0.000 0.500 In
0.333 0.667 0.142 B
0.667 0.333 0.858 B
0.000 0.500 0.000 Rh
0.167 0.335 0.272 Rh
0.167 0.833 0.272 Rh
0.335 0.167 0.728 Rh
0.500 0.000 0.000 Rh
0.500 0.500 0.000 Rh
0.665 0.833 0.272 Rh
0.833 0.167 0.728 Rh
0.833 0.665 0.728 Rh

GGA-PBE Pm2Zn5Co5, relaxed; D(E_F) = 11.1 states/eV per cell; DFT formation energy = -150 meV/atom; space group = Pmmm, No. 47; total energy = -4.43 eV/atom
1.0
4.074 0.000 0.000
0.000 5.086 0.000
0.000 0.000 9.030
Pm Zn Co
2 5 5
Direct
0.000 0.000 0.000 Pm
0.000 0.500 0.500 Pm
0.000 0.000 0.323 Zn
0.000 0.000 0.677 Zn
0.000 0.500 0.169 Zn
0.000 0.500 0.831 Zn
0.500 0.000 0.500 Zn
0.500 0.247 0.240 Co
0.500 0.247 0.760 Co
0.500 0.500 0.000 Co
0.500 0.753 0.240 Co
0.500 0.753 0.760 Co

GGA-PBE Rb3Ac3PaTe8, relaxed; formation energy (no corrections) = -1.348 eV per atom; D(E_F) = 2.2 states/eV per cell; space group = R-3m, No. 166; total energy = -4.67 eV/atom
1.0
4.795 2.768 8.715
-4.795 2.768 8.715
0.000 -5.536 8.715
Rb Ac Pa Te
3 3 1 8
Direct
0.000 0.500 0.500 Rb
0.500 0.000 0.500 Rb
0.500 0.500 0.000 Rb
0.000 0.000 0.500 Ac
0.000 0.500 0.000 Ac
0.500 0.000 0.000 Ac
0.500 0.500 0.500 Pa
0.238 0.238 0.238 Te
0.254 0.723 0.723 Te
0.277 0.277 0.746 Te
0.277 0.746 0.277 Te
0.723 0.254 0.723 Te
0.723 0.723 0.254 Te
0.746 0.277 0.277 Te
0.762 0.762 0.762 Te

GGA-PBE Np4Ga6Rh7, relaxed; D(E_F) = 37.1 states/eV per cell; DFT formation energy = -458 meV/atom; space group = Im-3m, No. 229; total energy = -7.60 eV/atom
1.0
-4.214 4.214 4.214
4.214 -4.214 4.214
4.214 4.214 -4.214
Np Ga Rh
4 6 7
Direct
0.000 0.000 0.500 Np
0.000 0.500 0.000 Np
0.500 0.000 0.000 Np
0.500 0.500 0.500 Np
0.000 0.313 0.313 Ga
0.000 0.687 0.687 Ga
0.313 0.000 0.313 Ga
0.313 0.313 0.000 Ga
0.687 0.000 0.687 Ga
0.687 0.687 0.000 Ga
0.000 0.000 0.000 Rh
0.250 0.500 0.750 Rh
0.250 0.750 0.500 Rh
0.500 0.250 0.750 Rh
0.500 0.750 0.250 Rh
0.750 0.250 0.500 Rh
0.750 0.500 0.250 Rh